DFT (PBE-GGA) results for a relaxed PrURu2 crystal.

## Properties
Formation energy: -304 meV/atom

Unit cell a=6.5453 b=5.0852 c=10.5125 alpha=90.00 beta=90.00 gamma=90.00
With the nearest neighbours (Å) after each atom.
Fractional coordinates of all 16 atoms:
1 Pr 0.1724 0.2500 0.1605  7 Ru 3.17-3.33, 3 U 3.47-3.51
2 Pr 0.3276 0.7500 0.6605  7 Ru 3.17-3.33, 3 U 3.47-3.51
3 Pr 0.6724 0.2500 0.3395  7 Ru 3.17-3.33, 3 U 3.47-3.51
4 Pr 0.8276 0.7500 0.8395  7 Ru 3.17-3.33, 3 U 3.47-3.51
5 U 0.0269 0.7500 0.3843  2 Ru 2.29-2.35
6 U 0.4731 0.2500 0.8843  2 Ru 2.29-2.35
7 U 0.5269 0.7500 0.1157  2 Ru 2.29-2.35
8 U 0.9731 0.2500 0.6157  2 Ru 2.29-2.35
9 Ru 0.1173 0.2500 0.8583  1 U 2.35
10 Ru 0.2399 0.2500 0.4746  1 U 2.29
11 Ru 0.2601 0.7500 0.9746  1 U 2.29
12 Ru 0.3827 0.7500 0.3583  1 U 2.35
13 Ru 0.6173 0.2500 0.6417  1 U 2.35
14 Ru 0.7399 0.2500 0.0254  1 U 2.29
15 Ru 0.7601 0.7500 0.5254  1 U 2.29
16 Ru 0.8827 0.7500 0.1417  1 U 2.35